MnRhO3 PBE+U optimized geometry; VASP energy = -6.64 eV/atom
1.0
2.876 0.000 0.000
0.000 4.682 2.693
0.000 0.007 5.403
O Rh Mn
3 1 1
Cartesian
2.072 3.668 3.281
2.071 1.194 1.893
2.072 1.227 4.731
0.633 0.466 0.604
0.633 2.029 3.304